Mo2P2O11 PBE with a Hubbard U relaxed; VASP energy = -7.13 eV per atom
1.0
8.0076 0.0000 0.0000
0.0000 12.7327 0.0000
-2.7785 0.0000 8.2488
Mo P O
8 8 44
Direct
0.1971 0.2500 0.1589 Mo
0.2296 0.7500 0.1822 Mo
0.2348 0.0013 0.6489 Mo
0.2348 0.4987 0.6489 Mo
0.7652 0.5013 0.3511 Mo
0.7652 0.9987 0.3511 Mo
0.7704 0.2500 0.8178 Mo
0.8029 0.7500 0.8411 Mo
0.1740 0.2500 0.7528 P
0.3155 0.0068 0.2637 P
0.3155 0.4932 0.2637 P
0.3605 0.7500 0.5855 P
0.6395 0.2500 0.4145 P
0.6845 0.5068 0.7363 P
0.6845 0.9932 0.7363 P
0.8260 0.7500 0.2472 P
0.0000 0.0000 0.5000 O
0.0000 0.5000 0.5000 O
0.0260 0.7500 0.2967 O
0.0382 0.7500 0.9856 O
0.1383 0.2500 0.3301 O
0.1866 0.5249 0.8217 O
0.1866 0.9751 0.8217 O
0.2132 0.5956 0.1951 O
0.2132 0.9044 0.1951 O
0.2200 0.0961 0.1449 O
0.2200 0.4039 0.1449 O
0.2356 0.1535 0.6708 O
0.2356 0.3465 0.6708 O
0.2568 0.6517 0.6036 O
0.2568 0.8483 0.6036 O
0.2637 0.2500 0.9352 O
0.3143 0.0288 0.4335 O
0.3143 0.4712 0.4335 O
0.3868 0.7500 0.4160 O
0.3997 0.7500 0.1050 O
0.4595 0.2500 0.2809 O
0.4971 0.0021 0.7519 O
0.4971 0.4979 0.7519 O
0.5029 0.5021 0.2481 O
0.5029 0.9979 0.2481 O
0.5405 0.7500 0.7191 O
0.6003 0.2500 0.8950 O
0.6132 0.2500 0.5840 O
0.6857 0.5288 0.5665 O
0.6857 0.9712 0.5665 O
0.7363 0.7500 0.0648 O
0.7432 0.1517 0.3964 O
0.7432 0.3483 0.3964 O
0.7644 0.6535 0.3292 O
0.7644 0.8465 0.3292 O
0.7800 0.5961 0.8551 O
0.7800 0.9039 0.8551 O
0.7868 0.0956 0.8049 O
0.7868 0.4044 0.8049 O
0.8134 0.0249 0.1783 O
0.8134 0.4751 0.1783 O
0.8617 0.7500 0.6699 O
0.9618 0.2500 0.0144 O
0.9740 0.2500 0.7033 O